1.
Density functional theory data (GGA-PBE) for an optimized crystal structure of Co2SnCl.

abc: 4.5866 4.5866 7.4534
angles: 72.08 72.08 90.00
With the nearest neighbours (Å) after each atom.
Sites, in units of the cell vectors:
Co (0.3750, 0.4943, 0.7500)  2 Cl 2.12
Co (0.5057, 0.1250, 0.2500)  2 Cl 2.12
Co (0.8750, 0.7557, 0.7500)  2 Cl 2.12
Co (0.2443, 0.6250, 0.2500)  2 Cl 2.12
Cl (0.5000, 0.5000, 0.0000)  4 Co 2.12
Cl (0.2500, 0.7500, 0.5000)  4 Co 2.12
Sn (0.7500, 0.2500, 0.5000)  4 Co 2.65
Sn (0.0000, 0.0000, 0.0000)  4 Co 2.65

ΔE_f (raw) = 0.3762 eV per atom
Space group = I-42d

2.
Density functional theory data (GGA-PBE) for an optimized crystal structure of Zn2Fe2Bi.

abc: 7.2602 7.2602 3.1306
angles: 90.00 90.00 90.00
With the nearest neighbours (Å) after each atom.
Sites, in units of the cell vectors:
Bi (0.0000, 0.0000, 0.0000)  4 Fe 2.92, 8 Zn 3.11, 2 Bi 3.13
Bi (0.5000, 0.5000, 0.0000)  4 Fe 2.92, 8 Zn 3.11, 2 Bi 3.13
Zn (0.3277, 0.1723, 0.5000)  6 Fe 2.64-2.69
Zn (0.6723, 0.8277, 0.5000)  6 Fe 2.64-2.69
Zn (0.8277, 0.3277, 0.5000)  6 Fe 2.64-2.69
Zn (0.1723, 0.6723, 0.5000)  6 Fe 2.64-2.69
Fe (0.1144, 0.3856, 0.0000)  1 Fe 2.35
Fe (0.6144, 0.1144, 0.0000)  1 Fe 2.35
Fe (0.8856, 0.6144, 0.0000)  1 Fe 2.35
Fe (0.3856, 0.8856, 0.0000)  1 Fe 2.35

ΔH_f (0 K) = 0.33 eV/atom
Space group = P4/mbm

3.
Density functional theory data (GGA-PBE) for an optimized crystal structure of Ca6Rh2Pb.

abc: 8.7574 8.7574 8.7574
angles: 103.65 112.50 112.42
With the nearest neighbours (Å) after each atom.
Sites, in units of the cell vectors:
Ca (0.7937, 0.7610, 0.5546)  2 Rh 2.95-3.22, 1 Pb 3.28
Ca (0.2063, 0.2390, 0.4454)  2 Rh 2.95-3.22, 1 Pb 3.28
Ca (0.6880, 0.3572, 0.6692)  3 Rh 2.90-2.97
Ca (0.3120, 0.9812, 0.6692)  3 Rh 2.90-2.97
Ca (0.4702, 0.2889, 0.1814)  3 Rh 3.02-3.26, 1 Pb 3.32
Ca (0.6880, 0.0188, 0.3308)  3 Rh 2.90-2.97
Ca (0.3120, 0.6428, 0.3308)  3 Rh 2.90-2.97
Ca (0.2063, 0.7610, 0.9673)  2 Rh 2.95-3.22, 1 Pb 3.28
Ca (0.1075, 0.2889, 0.8186)  3 Rh 3.02-3.26, 1 Pb 3.32
Ca (0.7937, 0.2390, 0.0327)  2 Rh 2.95-3.22, 1 Pb 3.28
Ca (0.8925, 0.7111, 0.1814)  3 Rh 3.02-3.26, 1 Pb 3.32
Ca (0.5298, 0.7111, 0.8186)  3 Rh 3.02-3.26, 1 Pb 3.32
Pb (0.0000, 0.5000, 0.5000)  12 Ca 3.47-3.72
Pb (0.0000, 0.0000, 0.0000)  8 Ca 3.28-3.32, 2 Rh 3.42
Rh (0.5000, 0.6231, 0.1231)  1 Rh 2.66, 2 Ca 2.90
Rh (0.5000, 0.3769, 0.8769)  1 Rh 2.66, 2 Ca 2.90
Rh (0.6490, 0.0000, 0.6490)  1 Rh 2.90, 6 Ca 2.95-2.97
Rh (0.3510, 0.0000, 0.3510)  1 Rh 2.90, 6 Ca 2.95-2.97

ΔH_f (0 K) = -0.40 eV/atom
Space group = Immm

4.
Density functional theory data (GGA-PBE) for an optimized crystal structure of SnO.

abc: 3.3710 3.3710 9.6146
angles: 89.50 100.61 120.00
With the nearest neighbours (Å) after each atom.
Sites, in units of the cell vectors:
Sn (0.0115, 0.3037, 0.3152)  3 O 2.19
Sn (0.3316, 0.4743, 0.8059)  3 O 2.19
O (0.0706, 0.8412, 0.9118)  3 Sn 2.19
O (0.6055, 0.6033, 0.2088)  3 Sn 2.19

ΔE_f (raw) = -0.9473 eV per atom
Space group = Cm

no.,DFT total energy (eV/cell)
1,-37.11
2,-43.44
3,-68.10
4,-21.71